(1)
Entry from the Alexandria database: a relaxed YSeF crystal (GGA-PBEsol).

CIF file:
```
data_YSeF
_chemical_formula_sum 'Y8 Se8 F8'
_cell_length_a 9.905
_cell_length_b 4.042
_cell_length_c 12.907
_cell_angle_alpha 90.00
_cell_angle_beta 104.60
_cell_angle_gamma 90.00
_symmetry_space_group_name_H-M 'P 1 21/m 1'
_symmetry_Int_Tables_number 11
loop_
_symmetry_equiv_pos_as_xyz
'x,y,z'
'-x,-y,-z'
'-x,y+1/2,-z'
'x,-y+1/2,z'
loop_
_atom_site_label
_atom_site_type_symbol
_atom_site_fract_x
_atom_site_fract_y
_atom_site_fract_z
Y1 Y 0.039 0.250 0.380
Y2 Y 0.115 0.750 0.139
Y3 Y 0.378 0.250 0.886
Y4 Y 0.457 0.750 0.627
Se1 Se 0.161 0.250 0.989
Se2 Se 0.242 0.750 0.735
Se3 Se 0.329 0.250 0.482
Se4 Se 0.411 0.750 0.229
F1 F 0.024 0.250 0.552
F2 F 0.078 0.250 0.205
F3 F 0.094 0.750 0.310
F4 F 0.449 0.750 0.956
```

Summary:
Mass density in Mg/m³: 4.96
Formation energy (no corrections) in eV per atom: -2.895

---

(2)
Entry from the Alexandria database: a relaxed YSeF crystal (GGA-PBEsol).

CIF file:
```
data_YSeF
_chemical_formula_sum 'Y4 Se4 F4'
_cell_length_a 11.377
_cell_length_b 4.049
_cell_length_c 5.559
_cell_angle_alpha 90.00
_cell_angle_beta 90.00
_cell_angle_gamma 90.00
_symmetry_space_group_name_H-M 'P n m a'
_symmetry_Int_Tables_number 62
loop_
_symmetry_equiv_pos_as_xyz
'x,y,z'
'-x,-y,-z'
'-x+1/2,-y,z+1/2'
'x+1/2,y,-z+1/2'
'x+1/2,-y+1/2,-z+1/2'
'-x+1/2,y+1/2,z+1/2'
'-x,y+1/2,-z'
'x,-y+1/2,z'
loop_
_atom_site_label
_atom_site_type_symbol
_atom_site_fract_x
_atom_site_fract_y
_atom_site_fract_z
Y1 Y 0.146 0.250 0.013
Se1 Se 0.168 0.250 0.513
F1 F 0.057 0.750 0.021
```

Summary:
Mass density in Mg/m³: 4.85
Formation energy (no corrections) in eV per atom: -2.899

---

(3)
Entry from the Alexandria database: a relaxed ZnSe2F crystal (GGA-PBEsol).

CIF file:
```
data_ZnSe2F
_chemical_formula_sum 'Zn4 Se8 F4'
_cell_length_a 4.157
_cell_length_b 4.157
_cell_length_c 17.677
_cell_angle_alpha 90.00
_cell_angle_beta 90.00
_cell_angle_gamma 90.00
_symmetry_space_group_name_H-M 'I -4 2 d'
_symmetry_Int_Tables_number 122
_symmetry_space_group_name_Hall 'I -4 2bw'
loop_
_atom_site_label
_atom_site_type_symbol
_atom_site_fract_x
_atom_site_fract_y
_atom_site_fract_z
Zn1 Zn 0.000 0.000 0.000
Se1 Se 0.163 0.250 0.125
F1 F 0.000 0.000 0.500
```

Summary:
Mass density in Mg/m³: 5.27
Formation energy (no corrections) in eV per atom: -0.346